Entry 1:
First-principles (PBE) data for a relaxed structure of Re5Tc24, as listed in Alexandria via LeMat-Bulk.

Properties
The formation enthalpy at 0 K comes out at 0.05 eV per atom. The crystal system is cubic.

abc: 8.2399 8.2399 8.2399
angles: 109.47 109.47 109.47
With the nearest neighbours (Å) after each atom.
Atoms (fractional coordinates):
Re 0.0000 0.0000 0.0000  4 Re 2.94, 12 Tc 2.95
Re 0.0000 0.0000 0.6435  9 Tc 2.71-2.86, 1 Re 2.94
Re 0.0000 0.6435 0.0000  9 Tc 2.71-2.86, 1 Re 2.94
Re 0.3565 0.3565 0.3565  9 Tc 2.71-2.86, 1 Re 2.94
Re 0.6435 0.0000 0.0000  9 Tc 2.71-2.86, 1 Re 2.94
Tc 0.0000 0.1923 0.3726  6 Tc 2.43-2.68
Tc 0.0000 0.3726 0.1923  6 Tc 2.43-2.68
Tc 0.0000 0.3989 0.6845  11 Tc 2.57-2.86, 1 Re 2.71
Tc 0.0000 0.6845 0.3989  11 Tc 2.57-2.86, 1 Re 2.71
Tc 0.1803 0.8077 0.8077  6 Tc 2.43-2.68
Tc 0.1923 0.0000 0.3726  6 Tc 2.43-2.68
Tc 0.1923 0.3726 0.0000  6 Tc 2.43-2.68
Tc 0.2857 0.6011 0.6011  11 Tc 2.57-2.86, 1 Re 2.71
Tc 0.3155 0.3155 0.7143  11 Tc 2.57-2.86, 1 Re 2.71
Tc 0.3155 0.7143 0.3155  11 Tc 2.57-2.86, 1 Re 2.71
Tc 0.3726 0.0000 0.1923  6 Tc 2.43-2.68
Tc 0.3726 0.1923 0.0000  6 Tc 2.43-2.68
Tc 0.3989 0.0000 0.6845  11 Tc 2.57-2.86, 1 Re 2.71
Tc 0.3989 0.6845 0.0000  11 Tc 2.57-2.86, 1 Re 2.71
Tc 0.6011 0.2857 0.6011  11 Tc 2.57-2.86, 1 Re 2.71
Tc 0.6011 0.6011 0.2857  11 Tc 2.57-2.86, 1 Re 2.71
Tc 0.6274 0.6274 0.8197  6 Tc 2.43-2.68
Tc 0.6274 0.8197 0.6274  6 Tc 2.43-2.68
Tc 0.6845 0.0000 0.3989  11 Tc 2.57-2.86, 1 Re 2.71
Tc 0.6845 0.3989 0.0000  11 Tc 2.57-2.86, 1 Re 2.71
Tc 0.7143 0.3155 0.3155  11 Tc 2.57-2.86, 1 Re 2.71
Tc 0.8077 0.1803 0.8077  6 Tc 2.43-2.68
Tc 0.8077 0.8077 0.1803  6 Tc 2.43-2.68
Tc 0.8197 0.6274 0.6274  6 Tc 2.43-2.68

Entry 2:
First-principles (PBE) data for a relaxed structure of ReTc3, as listed in Alexandria via LeMat-Bulk.

Properties
The formation enthalpy at 0 K comes out at 0.00 eV per atom. The crystal system is orthorhombic.

abc: 4.7840 8.8573 5.5320
angles: 90.00 90.00 90.00
With the nearest neighbours (Å) after each atom.
Atoms (fractional coordinates):
Re 0.0830 0.2500 0.1251  10 Tc 2.72-2.77, 2 Re 2.76
Re 0.4170 0.7500 0.6251  10 Tc 2.72-2.77, 2 Re 2.76
Re 0.5830 0.2500 0.3749  10 Tc 2.72-2.77, 2 Re 2.76
Re 0.9170 0.7500 0.8749  10 Tc 2.72-2.77, 2 Re 2.76
Tc 0.0828 0.2500 0.6249  8 Tc 2.71-2.76, 4 Re 2.76-2.77
Tc 0.2493 0.5015 0.3751  9 Tc 2.71-2.77, 3 Re 2.72-2.74
Tc 0.2493 0.9985 0.3751  9 Tc 2.71-2.77, 3 Re 2.72-2.74
Tc 0.2507 0.0015 0.8751  9 Tc 2.71-2.77, 3 Re 2.72-2.74
Tc 0.2507 0.4985 0.8751  9 Tc 2.71-2.77, 3 Re 2.72-2.74
Tc 0.4172 0.7500 0.1249  8 Tc 2.71-2.76, 4 Re 2.76-2.77
Tc 0.5828 0.2500 0.8751  8 Tc 2.71-2.76, 4 Re 2.76-2.77
Tc 0.7493 0.5015 0.1249  9 Tc 2.71-2.77, 3 Re 2.72-2.74
Tc 0.7493 0.9985 0.1249  9 Tc 2.71-2.77, 3 Re 2.72-2.74
Tc 0.7507 0.0015 0.6249  9 Tc 2.71-2.77, 3 Re 2.72-2.74
Tc 0.7507 0.4985 0.6249  9 Tc 2.71-2.77, 3 Re 2.72-2.74
Tc 0.9172 0.7500 0.3751  8 Tc 2.71-2.76, 4 Re 2.76-2.77

Entry 3:
First-principles (PBE) data for a relaxed structure of ReTc2, as listed in Alexandria via LeMat-Bulk.

Properties
The formation enthalpy at 0 K comes out at 0.43 eV per atom. The crystal system is hexagonal.

abc: 6.3764 6.3764 4.0608
angles: 90.00 90.00 120.00
With the nearest neighbours (Å) after each atom.
Atoms (fractional coordinates):
Re 0.0000 0.0000 0.0000  9 Tc 2.59-2.60
Re 0.3333 0.6667 0.5000  3 Tc 2.43
Re 0.6667 0.3333 0.5000  3 Tc 2.43
Tc 0.0000 0.2511 0.5000  4 Re 2.43-2.59
Tc 0.0000 0.5918 0.0000  5 Re 2.60-2.80
Tc 0.2511 0.0000 0.5000  4 Re 2.43-2.59
Tc 0.4082 0.4082 0.0000  5 Re 2.60-2.80
Tc 0.5918 0.0000 0.0000  5 Re 2.60-2.80
Tc 0.7489 0.7489 0.5000  4 Re 2.43-2.59

Entry 4:
First-principles (PBE) data for a relaxed structure of Re13Tc3, as listed in Alexandria via LeMat-Bulk.

Properties
The formation enthalpy at 0 K comes out at 0.00 eV per atom. The crystal system is orthorhombic.

abc: 5.5418 6.5650 6.5650
angles: 85.87 90.00 90.00
With the nearest neighbours (Å) after each atom.
Atoms (fractional coordinates):
Re 0.0000 0.0002 0.0002  10 Re 2.74-2.78, 2 Tc 2.76
Re 0.0000 0.4159 0.9172  2 Tc 2.74, 10 Re 2.74-2.78
Re 0.0000 0.4994 0.4994  8 Re 2.74-2.78, 4 Tc 2.77
Re 0.0000 0.9172 0.4159  2 Tc 2.74, 10 Re 2.74-2.78
Re 0.2502 0.1679 0.6652  10 Re 2.74-2.78, 2 Tc 2.74-2.75
Re 0.2502 0.6652 0.1679  10 Re 2.74-2.78, 2 Tc 2.74-2.75
Re 0.2509 0.7500 0.7500  11 Re 2.75-2.78, 1 Tc 2.77
Re 0.5000 0.0000 0.0000  10 Re 2.75-2.77, 2 Tc 2.77
Re 0.5000 0.4163 0.9170  3 Tc 2.75, 9 Re 2.75-2.77
Re 0.5000 0.9170 0.4163  3 Tc 2.75, 9 Re 2.75-2.77
Re 0.7491 0.7500 0.7500  11 Re 2.75-2.78, 1 Tc 2.77
Re 0.7498 0.1679 0.6652  10 Re 2.74-2.78, 2 Tc 2.74-2.75
Re 0.7498 0.6652 0.1679  10 Re 2.74-2.78, 2 Tc 2.74-2.75
Tc 0.2495 0.2491 0.2491  9 Re 2.74-2.77, 3 Tc 2.77-2.78
Tc 0.5000 0.5001 0.5001  10 Re 2.74-2.77, 2 Tc 2.78
Tc 0.7505 0.2491 0.2491  9 Re 2.74-2.77, 3 Tc 2.77-2.78

Entry 5:
First-principles (PBE) data for a relaxed structure of Re2Tc, as listed in Alexandria via LeMat-Bulk.

Properties
The formation enthalpy at 0 K comes out at 1.02 eV per atom. The crystal system is tetragonal.

abc: 3.7282 3.7282 3.7750
angles: 90.00 90.00 90.00
With the nearest neighbours (Å) after each atom.
Atoms (fractional coordinates):
Re 0.0000 0.5000 0.0000  4 Re 2.64, 4 Tc 2.65
Re 0.5000 0.0000 0.0000  4 Re 2.64, 4 Tc 2.65
Tc 0.0000 0.0000 0.5000  8 Re 2.65

Entry 6:
First-principles (PBE) data for a relaxed structure of ReTc4, as listed in Alexandria via LeMat-Bulk.

Properties
The formation enthalpy at 0 K comes out at 0.73 eV per atom. The crystal system is tetragonal.

abc: 7.5892 7.5892 7.5892
angles: 154.58 154.58 36.25
With the nearest neighbours (Å) after each atom.
Atoms (fractional coordinates):
Re 0.0000 0.0000 0.0000  8 Tc 2.73
Tc 0.2500 0.7500 0.5000  4 Tc 2.36
Tc 0.4050 0.4050 0.0000  4 Re 2.73, 5 Tc 2.74-2.79
Tc 0.5950 0.5950 0.0000  4 Re 2.73, 5 Tc 2.74-2.79
Tc 0.7500 0.2500 0.5000  4 Tc 2.36

Entry 7:
First-principles (PBE) data for a relaxed structure of Re2Tc, as listed in Alexandria via LeMat-Bulk.

Properties
The formation enthalpy at 0 K comes out at 0.06 eV per atom. The crystal system is trigonal.

abc: 2.7545 2.7545 6.7989
angles: 90.00 90.00 120.00
With the nearest neighbours (Å) after each atom.
Atoms (fractional coordinates):
Re 0.3333 0.6667 0.1674  9 Re 2.75-2.78, 3 Tc 2.76
Re 0.6667 0.3333 0.8326  9 Re 2.75-2.78, 3 Tc 2.76
Tc 0.0000 0.0000 0.5000  6 Tc 2.75, 6 Re 2.76

Entry 8:
First-principles (PBE) data for a relaxed structure of ReTc2, as listed in Alexandria via LeMat-Bulk.

Properties
The formation enthalpy at 0 K comes out at 0.20 eV per atom. The crystal system is tetragonal.

abc: 5.0162 5.0162 5.0162
angles: 103.92 103.92 121.25
With the nearest neighbours (Å) after each atom.
Atoms (fractional coordinates):
Re 0.2500 0.2500 0.0000  2 Re 2.46, 8 Tc 2.68
Re 0.7500 0.7500 0.0000  2 Re 2.46, 8 Tc 2.68
Tc 0.1414 0.6414 0.7828  1 Tc 2.47, 4 Re 2.68
Tc 0.3586 0.1414 0.5000  1 Tc 2.47, 4 Re 2.68
Tc 0.6414 0.8586 0.5000  1 Tc 2.47, 4 Re 2.68
Tc 0.8586 0.3586 0.2172  1 Tc 2.47, 4 Re 2.68

D(E_F) values, unit states/eV/atom, following the record order: 0.774, 0.807, 1.188, 0.944, 1.205, 1.026, 0.937, 0.936.